# 1
First-principles (PBEsol) data for crystalline Be2InMo at its relaxed geometry, as listed in Alexandria.

extended XYZ file:
```
4
Lattice="3.795 0.000 0.000 0.000 1.437 4.825 0.000 -1.437 4.825" Properties=species:S:1:pos:R:3 pbc="T T T"
Be 0.000 0.000 0.000
Be 1.898 0.000 1.215
In 0.000 0.000 7.118
Mo 1.898 0.000 3.976
```

## Properties
Energy: -0.1977 hartree per atom
Energy of formation: 0.307 eV/atom

***

# 2
First-principles (PBEsol) data for crystalline Zn2FeAs at its relaxed geometry, as listed in Alexandria.

extended XYZ file:
```
4
Lattice="1.430 0.826 8.022 -1.430 0.826 8.022 0.000 -1.651 8.022" Properties=species:S:1:pos:R:3 pbc="T T T"
Zn 0.000 0.000 0.000
Zn 0.000 0.000 5.911
Fe 0.000 0.000 12.010
As 0.000 0.000 18.407
```

## Properties
Energy: -0.1558 hartree per atom
Energy of formation: 0.070 eV/atom